## Ti6ReMo5 (PBE)

Data for a geometry-optimized Ti6ReMo5 structure.

Geometry as CIF:
```
data_Ti6ReMo5
_chemical_formula_sum 'Ti6 Re1 Mo5'
_symmetry_space_group_name_H-M 'P 1 2/m 1'
_symmetry_Int_Tables_number 10
_cell_length_a 4.442
_cell_length_b 6.333
_cell_length_c 7.060
_cell_angle_alpha 90.00
_cell_angle_beta 108.39
_cell_angle_gamma 90.00
loop_
_symmetry_equiv_pos_as_xyz
'x,y,z'
'-x,-y,-z'
'-x,y,-z'
'x,-y,z'
loop_
_atom_site_label
_atom_site_fract_x
_atom_site_fract_y
_atom_site_fract_z
_atom_site_occupancy
Ti1 0.000 0.247 0.000 1
Ti2 0.336 0.248 0.671 1
Re1 0.500 0.000 0.000 1
Mo1 0.167 0.500 0.335 1
Mo2 0.168 0.000 0.335 1
Mo3 0.500 0.500 0.000 1
```

---

# VCoSb | the Alexandria database | PBE | relaxed
data_VCoSb
_chemical_formula_sum 'V2 Co2 Sb2'
_symmetry_space_group_name_H-M 'P 63/m m c'
_symmetry_Int_Tables_number 194
_symmetry_space_group_name_Hall '-P 6c 2c'
_cell_length_a 4.5020
_cell_length_b 4.5020
_cell_length_c 5.3770
_cell_angle_alpha 90.00
_cell_angle_beta 90.00
_cell_angle_gamma 120.00
loop_
_atom_site_label
_atom_site_fract_x
_atom_site_fract_y
_atom_site_fract_z
_atom_site_occupancy
V1 0.3333 0.6667 0.2500 1
Co1 0.0000 0.0000 0.0000 1
Sb1 0.3333 0.6667 0.7500 1
# * energy relative to the elements, uncorrected: 328 meV per atom

---

no.,density of states at the Fermi level (states/eV per cell),calculated volume (Å³/f.u.),uncorrected energy (eV per atom)
1,21.35,188,-9.606
2,11.52,47,-6.454